1.
Density functional theory data (GGA-PBE) for crystalline CaAlGaGe2 at its relaxed geometry. Values from VASP.

```
&SYSTEM
  ibrav = 0, nat = 10, ntyp = 4
/
ATOMIC_SPECIES
Ca 40.08 Ca.upf
Al 26.98 Al.upf
Ga 69.72 Ga.upf
Ge 72.64 Ge.upf
CELL_PARAMETERS angstrom
4.3076 0.0000 0.0000
-2.1417 6.0861 0.0000
-0.0107 -0.0075 8.7373
ATOMIC_POSITIONS crystal
Ca 0.1850 0.3708 0.2006
Ca 0.8150 0.6292 0.7994
Al 0.4595 0.9195 0.2597
Al 0.5405 0.0805 0.7403
Ga 0.1646 0.3272 0.5904
Ga 0.8354 0.6728 0.4096
Ge 0.0947 0.1888 0.8774
Ge 0.3770 0.7567 0.5578
Ge 0.6230 0.2433 0.4422
Ge 0.9053 0.8112 0.1226
```

Properties
Calculated formation energy (eV per atom): -0.232
Spin magnetization (μB per formula unit): 0.00
Volume (Å³ per atom): 22.9

2.
Density functional theory data (GGA-PBE) for crystalline Li2CoPt at its relaxed geometry. Values from VASP.

```
&SYSTEM
  ibrav = 0, nat = 4, ntyp = 3
/
ATOMIC_SPECIES
Li 6.94 Li.upf
Co 58.93 Co.upf
Pt 195.08 Pt.upf
CELL_PARAMETERS angstrom
-1.8003 1.8003 4.0454
1.8003 -1.8003 4.0454
1.8003 1.8003 -4.0454
ATOMIC_POSITIONS crystal
Li 0.2500 0.7500 0.5000
Li 0.7500 0.2500 0.5000
Co 0.0000 0.0000 0.0000
Pt 0.5000 0.5000 0.0000
```

Properties
Calculated formation energy (eV per atom): -0.162
Relative energy among the computed polymorphs (meV/atom): 83.6
Spin magnetization (μB per formula unit): 1.67
Volume (Å³ per atom): 13.1